{"formula": "HoPuO", "functional": "PBE", "state": "relaxed", "lattice_angstrom": [[-4.4933, 3.0358, 2.5987], [-2.2521, -5.8191, 2.9037], [3.3092, 0.9947, 4.5599]], "species": ["O", "Ho", "O", "Pu", "O", "Pu", "O", "Ho", "Ho", "Pu", "Pu", "Ho"], "frac_coords": [[0.5751, 0.8738, 0.7584], [0.4157, 0.1202, 0.0018], [0.0751, 0.6262, 0.7584], [0.7381, 0.1234, 0.4926], [0.0751, 0.1262, 0.2416], [0.2381, 0.3766, 0.4926], [0.5751, 0.3738, 0.2416], [0.9157, 0.3798, 0.0018], [0.4157, 0.6202, 0.9982], [0.2381, 0.8766, 0.5074], [0.7381, 0.6234, 0.5074], [0.9157, 0.8798, 0.9982]], "e_form_raw_ev_per_atom": -1.607, "polymorph_energy_ev_per_fu": 0.00}